[1]
Entry from Alexandria via LeMat-Bulk: GeSbNF2 after structural relaxation (GGA-PBE).

The total energy comes out at -4.526 eV per atom. For the excess energy over the best structure of this formula in the dataset, the calculation gives 64.0 meV per atom. The formation energy from raw total energies is -0.3642 eV per atom.

It has space group P4/mmm (No. 123), with a = 4.429 Å, b = 4.429 Å, c = 4.196 Å, α = 90.00°, β = 90.00° and γ = 90.00°. The inequivalent atoms are Ge at (0.000, 0.000, 0.000), Sb at (0.500, 0.500, 0.500), N at (0.500, 0.500, 0.000) and F at (0.000, 0.500, 0.500).



[2]
Entry from Alexandria via LeMat-Bulk: ScGeNF2 after structural relaxation (GGA-PBE).

The total energy comes out at -5.577 eV per atom. For the excess energy over the best structure of this formula in the dataset, the calculation gives 640.0 meV per atom. The formation energy from raw total energies is -0.9735 eV per atom.

It has space group P4/mmm (No. 123), with a = 4.189 Å, b = 4.189 Å, c = 3.916 Å, α = 90.00°, β = 90.00° and γ = 90.00°. The inequivalent atoms are Sc at (0.000, 0.000, 0.000), Ge at (0.500, 0.500, 0.500), N at (0.500, 0.500, 0.000) and F at (0.000, 0.500, 0.500).



[3]
Entry from Alexandria via LeMat-Bulk: ScGeNF2 after structural relaxation (GGA-PBE).

The total energy comes out at -6.217 eV per atom. For the excess energy over the best structure of this formula in the dataset, the calculation gives 0.0 meV per atom. The formation energy from raw total energies is -1.6135 eV per atom.

It has space group P4/mmm (No. 123), with a = 4.009 Å, b = 4.009 Å, c = 4.413 Å, α = 90.00°, β = 90.00° and γ = 90.00°. The inequivalent atoms are Sc at (0.000, 0.000, 0.000), Ge at (0.500, 0.500, 0.500), N at (0.000, 0.000, 0.500) and F at (0.000, 0.500, 0.000).



[4]
Entry from Alexandria via LeMat-Bulk: GeSeN2F after structural relaxation (GGA-PBE).

The total energy comes out at -3.358 eV per atom. For the excess energy over the best structure of this formula in the dataset, the calculation gives 1345.0 meV per atom. The formation energy from raw total energies is 1.9663 eV per atom.

It has space group P4/mmm (No. 123), with a = 4.171 Å, b = 4.171 Å, c = 4.163 Å, α = 90.00°, β = 90.00° and γ = 90.00°. The inequivalent atoms are Ge at (0.000, 0.000, 0.000), Se at (0.500, 0.500, 0.000), N at (0.000, 0.500, 0.500) and F at (0.500, 0.500, 0.500).



[5]
Entry from Alexandria via LeMat-Bulk: GeSeN2F after structural relaxation (GGA-PBE).

The total energy comes out at -4.703 eV per atom. For the excess energy over the best structure of this formula in the dataset, the calculation gives 0.0 meV per atom. The formation energy from raw total energies is 0.6213 eV per atom.

It has space group P4/mmm (No. 123), with a = 3.907 Å, b = 3.907 Å, c = 3.763 Å, α = 90.00°, β = 90.00° and γ = 90.00°. The inequivalent atoms are Ge at (0.000, 0.000, 0.000), Se at (0.500, 0.500, 0.500), N at (0.000, 0.500, 0.000) and F at (0.000, 0.000, 0.500).



[6]
Entry from Alexandria via LeMat-Bulk: GeSeN2F after structural relaxation (GGA-PBE).

The total energy comes out at -4.433 eV per atom. For the excess energy over the best structure of this formula in the dataset, the calculation gives 270.3 meV per atom. The formation energy from raw total energies is 0.8916 eV per atom.

It has space group P4/mmm (No. 123), with a = 3.934 Å, b = 3.934 Å, c = 4.190 Å, α = 90.00°, β = 90.00° and γ = 90.00°. The inequivalent atoms are Ge at (0.000, 0.000, 0.000), Se at (0.500, 0.500, 0.500), N at (0.000, 0.500, 0.500) and F at (0.500, 0.500, 0.000).



[7]
Entry from Alexandria via LeMat-Bulk: GeSeN2F after structural relaxation (GGA-PBE).

The total energy comes out at -4.246 eV per atom. For the excess energy over the best structure of this formula in the dataset, the calculation gives 457.8 meV per atom. The formation energy from raw total energies is 1.0791 eV per atom.

It has space group P4/mmm (No. 123), with a = 3.622 Å, b = 3.622 Å, c = 5.788 Å, α = 90.00°, β = 90.00° and γ = 90.00°. The inequivalent atoms are Ge at (0.000, 0.000, 0.000), Se at (0.000, 0.000, 0.500), N at (0.000, 0.500, 0.000) and F at (0.500, 0.500, 0.500).



[8]
Entry from Alexandria via LeMat-Bulk: SiGeNF2 after structural relaxation (GGA-PBE).

The total energy comes out at -5.252 eV per atom. For the excess energy over the best structure of this formula in the dataset, the calculation gives 0.0 meV per atom. The formation energy from raw total energies is -0.8300 eV per atom.

It has space group P4/mmm (No. 123), with a = 4.286 Å, b = 4.286 Å, c = 3.293 Å, α = 90.00°, β = 90.00° and γ = 90.00°. The inequivalent atoms are Si at (0.000, 0.000, 0.000), Ge at (0.500, 0.500, 0.500), N at (0.000, 0.000, 0.500) and F at (0.000, 0.500, 0.000).



[9]
Entry from Alexandria via LeMat-Bulk: SiGeNF2 after structural relaxation (GGA-PBE).

The total energy comes out at -4.713 eV per atom. For the excess energy over the best structure of this formula in the dataset, the calculation gives 538.7 meV per atom. The formation energy from raw total energies is -0.2914 eV per atom.

It has space group P4/mmm (No. 123), with a = 4.165 Å, b = 4.165 Å, c = 3.745 Å, α = 90.00°, β = 90.00° and γ = 90.00°. The inequivalent atoms are Si at (0.000, 0.000, 0.000), Ge at (0.500, 0.500, 0.500), N at (0.500, 0.500, 0.000) and F at (0.000, 0.500, 0.500).



[10]
Entry from Alexandria via LeMat-Bulk: SnGeN2F after structural relaxation (GGA-PBE).

The total energy comes out at -5.319 eV per atom. For the excess energy over the best structure of this formula in the dataset, the calculation gives 0.0 meV per atom. The formation energy from raw total energies is 0.1096 eV per atom.

It has space group P4/mmm (No. 123), with a = 3.909 Å, b = 3.909 Å, c = 4.007 Å, α = 90.00°, β = 90.00° and γ = 90.00°. The inequivalent atoms are Sn at (0.000, 0.000, 0.000), Ge at (0.500, 0.500, 0.500), N at (0.000, 0.500, 0.500) and F at (0.500, 0.500, 0.000).



[11]
Entry from Alexandria via LeMat-Bulk: SnGeN2F after structural relaxation (GGA-PBE).

The total energy comes out at -5.038 eV per atom. For the excess energy over the best structure of this formula in the dataset, the calculation gives 280.6 meV per atom. The formation energy from raw total energies is 0.3902 eV per atom.

It has space group P4/mmm (No. 123), with a = 4.142 Å, b = 4.142 Å, c = 4.172 Å, α = 90.00°, β = 90.00° and γ = 90.00°. The inequivalent atoms are Sn at (0.000, 0.000, 0.000), Ge at (0.500, 0.500, 0.500), N at (0.000, 0.500, 0.000) and F at (0.000, 0.000, 0.500).



[12]
Entry from Alexandria via LeMat-Bulk: SrGeN2F after structural relaxation (GGA-PBE).

The total energy comes out at -5.732 eV per atom. For the excess energy over the best structure of this formula in the dataset, the calculation gives 0.0 meV per atom. The formation energy from raw total energies is -0.7678 eV per atom.

It has space group P4/mmm (No. 123), with a = 3.817 Å, b = 3.817 Å, c = 4.403 Å, α = 90.00°, β = 90.00° and γ = 90.00°. The inequivalent atoms are Sr at (0.000, 0.000, 0.000), Ge at (0.500, 0.500, 0.500), N at (0.000, 0.500, 0.500) and F at (0.500, 0.500, 0.000).